VASP calculation (PBE-GGA) on a relaxed structure of LiLa2HgIr.

a = 7.9881 Å, b = 4.3234 Å, c = 8.0212 Å
α = 90.00°, β = 107.65°, γ = 90.00°
Positions (direct):
Li 0.0623 0.2500 0.1611
Li 0.9377 0.7500 0.8389
La 0.2313 0.7500 0.5404
La 0.3930 0.7500 0.1622
La 0.6070 0.2500 0.8378
La 0.7687 0.2500 0.4596
Hg 0.1636 0.2500 0.8373
Hg 0.8364 0.7500 0.1627
Ir 0.3789 0.2500 0.3942
Ir 0.6211 0.7500 0.6058

Results
Size of the total moment (μB/f.u.): 0.00
VASP energy (eV/cell): -47.2
Polymorph energy (0 for the lowest one) (kJ/mol of formula units): 0.0
Formation energy (meV/atom): -529